# 1
Nd6Sm4Er: relaxed, PBE.

Cell lengths 6.676, 6.676, 17.472 Å; angles 90.00, 90.00, 90.00 degrees
Space group I-42m (No. 121)
Unique sites:
Nd 0.000 0.500 0.000 (multiplicity 4)
Nd 0.178 0.178 0.370 (multiplicity 8)
Sm 0.188 0.188 0.176 (multiplicity 8)
Er 0.000 0.000 0.000 (multiplicity 2)

## Properties
The crystal system is tetragonal. The energy of formation is 280 meV per atom. As for the magnetization: 0.00 μB per formula unit. The value obtained for the energy above the most stable polymorph in this dataset is 0 meV per atom.


# 2
Nd2Sm6Er: relaxed, PBE.

Cell lengths 16.613, 11.792, 6.211 Å; angles 90.00, 96.36, 90.00 degrees
Space group C2/c (No. 15)
Unique sites:
Nd 0.168 0.100 0.077 (multiplicity 8)
Sm 0.048 0.141 0.513 (multiplicity 8)
Sm 0.115 0.360 0.821 (multiplicity 8)
Sm 0.210 0.363 0.352 (multiplicity 8)
Er 0.000 0.402 0.250 (multiplicity 4)

## Properties
The crystal system is monoclinic. The energy of formation is 86 meV per atom. As for the magnetization: 0.00 μB per formula unit. The value obtained for the energy above the most stable polymorph in this dataset is 29 meV per atom.


# 3
Nd2SmEr8: relaxed, PBE.

Cell lengths 16.500, 6.595, 6.643 Å; angles 90.00, 99.86, 90.00 degrees
Space group C2/m (No. 12)
Unique sites:
Nd 0.245 0.000 0.308 (multiplicity 4)
Sm 0.000 0.000 0.000 (multiplicity 2)
Er 0.087 0.262 0.404 (multiplicity 8)
Er 0.088 0.500 0.905 (multiplicity 4)
Er 0.202 0.000 0.800 (multiplicity 4)

## Properties
The crystal system is monoclinic. The energy of formation is 174 meV per atom. As for the magnetization: 0.00 μB per formula unit. The value obtained for the energy above the most stable polymorph in this dataset is 14 meV per atom.


# 4
Nd5Sm5Er2: relaxed, PBE.

Cell lengths 15.412, 5.131, 11.479 Å; angles 90.00, 116.57, 90.00 degrees
Space group C2/m (No. 12)
Unique sites:
Nd 0.000 0.000 0.000 (multiplicity 2)
Nd 0.165 0.000 0.499 (multiplicity 4)
Nd 0.249 0.500 0.750 (multiplicity 4)
Sm 0.000 0.500 0.500 (multiplicity 2)
Sm 0.082 0.500 0.249 (multiplicity 4)
Sm 0.167 0.500 0.000 (multiplicity 4)
Er 0.084 0.000 0.751 (multiplicity 4)

## Properties
The crystal system is monoclinic. The energy of formation is 16 meV per atom. As for the magnetization: 0.00 μB per formula unit.